The following is a DFT calculation (GGA-PBE) of a relaxed Pa2Co4Si3Ge crystal.

Values from the calculation:
- space group = P-4m2
- formation energy without anion corrections (eV/atom) = -0.73

Cell: 3.938 3.938 9.570 Å, 90.00 90.00 90.00°
Fractional coordinates of all 10 atoms:
Pa1 0.000 0.500 0.246
Pa2 0.500 0.000 0.754
Co1 0.000 0.000 0.000
Co2 0.000 0.500 0.634
Co3 0.500 0.000 0.366
Co4 0.500 0.500 0.000
Si1 0.000 0.500 0.872
Si2 0.500 0.000 0.128
Si3 0.500 0.500 0.500
Ge1 0.000 0.000 0.500

***

The following is a DFT calculation (GGA-PBE) of a relaxed Pa2Co4SnGe3 crystal.

Values from the calculation:
- space group = P-4m2
- E_form (kcal/mol of atoms) = -10.40

Cell: 3.981 3.981 10.337 Å, 90.00 90.00 90.00°
Fractional coordinates of all 10 atoms:
Pa1 0.000 0.500 0.237
Pa2 0.500 0.000 0.763
Co1 0.000 0.000 0.000
Co2 0.000 0.500 0.653
Co3 0.500 0.000 0.347
Co4 0.500 0.500 0.000
Sn1 0.000 0.000 0.500
Ge1 0.000 0.500 0.875
Ge2 0.500 0.000 0.125
Ge3 0.500 0.500 0.500

***

The following is a DFT calculation (GGA-PBE) of a relaxed PaCo5SnGe2 crystal.

Values from the calculation:
- space group = P4/mmm
- E_form (kcal/mol of atoms) = -1.67

Cell: 4.050 4.050 8.280 Å, 90.00 90.00 90.00°
Fractional coordinates of all 9 atoms:
Pa1 0.000 0.000 0.000
Co1 0.000 0.500 0.213
Co2 0.000 0.500 0.787
Co3 0.500 0.000 0.213
Co4 0.500 0.000 0.787
Co5 0.500 0.500 0.000
Sn1 0.000 0.000 0.500
Ge1 0.500 0.500 0.349
Ge2 0.500 0.500 0.651

***

The following is a DFT calculation (GGA-PBE) of a relaxed Pa2TaCo4Ge3 crystal.

Values from the calculation:
- space group = P-4m2
- E_form (kcal/mol of atoms) = -11.64

Cell: 4.008 4.008 9.968 Å, 90.00 90.00 90.00°
Fractional coordinates of all 10 atoms:
Pa1 0.000 0.500 0.241
Pa2 0.500 0.000 0.759
Ta1 0.000 0.000 0.500
Co1 0.000 0.000 0.000
Co2 0.000 0.500 0.639
Co3 0.500 0.000 0.361
Co4 0.500 0.500 0.000
Ge1 0.000 0.500 0.872
Ge2 0.500 0.000 0.128
Ge3 0.500 0.500 0.500

***

The following is a DFT calculation (GGA-PBE) of a relaxed Pa2Co3TcGe4 crystal.

Values from the calculation:
- space group = P-4m2
- E_form (kcal/mol of atoms) = -11.38

Cell: 4.153 4.153 9.455 Å, 90.00 90.00 90.00°
Fractional coordinates of all 10 atoms:
Pa1 0.000 0.500 0.245
Pa2 0.500 0.000 0.755
Co1 0.000 0.000 0.000
Co2 0.000 0.500 0.621
Co3 0.500 0.000 0.379
Tc1 0.500 0.500 0.000
Ge1 0.000 0.000 0.500
Ge2 0.000 0.500 0.863
Ge3 0.500 0.000 0.137
Ge4 0.500 0.500 0.500

***

The following is a DFT calculation (GGA-PBE) of a relaxed Pa3CoTc2Ge3 crystal.

Values from the calculation:
- space group = P-62m
- E_form (kcal/mol of atoms) = -12.23

Cell: 7.065 7.065 3.865 Å, 90.00 90.00 120.00°
Fractional coordinates of all 9 atoms:
Pa1 0.000 0.592 0.000
Pa2 0.408 0.408 0.000
Pa3 0.592 0.000 0.000
Co1 0.000 0.000 0.000
Tc1 0.333 0.667 0.500
Tc2 0.667 0.333 0.500
Ge1 0.000 0.243 0.500
Ge2 0.243 0.000 0.500
Ge3 0.757 0.757 0.500

***

The following is a DFT calculation (GGA-PBE) of a relaxed PaCoTcGe2 crystal.

Values from the calculation:
- space group = I-4m2
- E_form (kcal/mol of atoms) = -9.32

Cell: 5.757 5.757 5.757 Å, 137.66 137.66 61.43°
Fractional coordinates of all 5 atoms:
Pa1 0.000 0.000 0.000
Co1 0.250 0.750 0.500
Tc1 0.750 0.250 0.500
Ge1 0.373 0.373 0.000
Ge2 0.627 0.627 0.000

***

The following is a DFT calculation (GGA-PBE) of a relaxed PaCoTcGe crystal.

Values from the calculation:
- space group = F-43m
- E_form (kcal/mol of atoms) = -4.32

Cell: 4.555 4.555 4.555 Å, 60.00 60.00 60.00°
Fractional coordinates of all 4 atoms:
Pa1 0.000 0.000 0.000
Co1 0.750 0.750 0.750
Tc1 0.250 0.250 0.250
Ge1 0.500 0.500 0.500

***

How do the records compare in M_tot? In the order shown, they have 0.00, 0.00, 1.72, 0.00, 0.00, 0.00, 0.00, 1.00 μB per formula unit.
How do the records compare in DOS(E_F)? In the order shown, they have 5.95, 9.21, 6.40, 9.68, 11.57, 7.46, 4.49, 3.40 states/eV/f.u..